Entry 1:
Nd6Ho2ErTm: relaxed, PBE-GGA.

Output
Final energy: -4.5628 eV per atom
Size of the total moment: 0.0 μB per cell
Volume: 674.8 Å³/cell
SG: C2/c, No. 15

Cell: 9.603 8.947 8.947 Å, 117.74 93.77 93.77°
Element x y z (fractional)
Nd1 0.054 0.118 0.764
Nd2 0.446 0.236 0.882
Nd3 0.946 0.882 0.236
Nd4 0.554 0.764 0.118
Nd5 0.311 0.992 0.436
Nd6 0.189 0.564 0.008
Nd7 0.689 0.008 0.564
Nd8 0.811 0.436 0.992
Nd9 0.117 0.708 0.490
Nd10 0.383 0.510 0.292
Nd11 0.883 0.292 0.510
Nd12 0.617 0.490 0.708
Ho1 0.454 0.799 0.702
Ho2 0.046 0.298 0.201
Ho3 0.546 0.201 0.298
Ho4 0.954 0.702 0.799
Er1 0.250 0.972 0.028
Er2 0.750 0.028 0.972
Tm1 0.250 0.412 0.588
Tm2 0.750 0.588 0.412

Entry 2:
NdHoEr3Tm: relaxed, PBE-GGA.

Output
Final energy: -4.5598 eV per atom
Size of the total moment: 0.0 μB per cell
Volume: 374.8 Å³/cell
SG: Cmcm, No. 63

Cell: 4.996 7.900 10.011 Å, 90.00 90.00 108.43°
Element x y z (fractional)
Nd1 0.500 0.000 0.750
Nd2 0.500 0.000 0.250
Ho1 0.000 0.000 0.500
Ho2 0.000 0.000 0.000
Er1 0.668 0.335 0.500
Er2 0.332 0.665 0.500
Er3 0.332 0.665 0.000
Er4 0.668 0.335 0.000
Er5 0.168 0.337 0.750
Er6 0.832 0.663 0.250
Tm1 0.832 0.664 0.750
Tm2 0.168 0.336 0.250

Entry 3:
Nd6HoEr3Tm2: relaxed, PBE-GGA.

Output
Final energy: -4.6377 eV per atom
Size of the total moment: 0.0 μB per cell
Volume: 390.6 Å³/cell
SG: C2/m, No. 12

Cell: 6.241 6.241 11.763 Å, 95.06 95.06 119.99°
Element x y z (fractional)
Nd1 0.916 0.583 0.750
Nd2 0.750 0.750 0.250
Nd3 0.084 0.417 0.250
Nd4 0.583 0.916 0.750
Nd5 0.250 0.250 0.750
Nd6 0.417 0.084 0.250
Ho1 0.000 0.000 0.000
Er1 0.167 0.833 0.500
Er2 0.833 0.167 0.500
Er3 0.500 0.500 0.500
Tm1 0.333 0.667 0.000
Tm2 0.667 0.333 0.000

Entry 4:
NdHo2Er2Tm: relaxed, PBE-GGA.

Output
Final energy: -4.3040 eV per atom
Size of the total moment: 0.0 μB per cell
Volume: 387.7 Å³/cell
SG: Pnnm, No. 58

Cell: 3.386 6.493 17.632 Å, 90.00 90.00 90.00°
Element x y z (fractional)
Nd1 0.000 0.000 0.000
Nd2 0.500 0.500 0.500
Ho1 0.500 0.781 0.352
Ho2 0.500 0.219 0.648
Ho3 0.000 0.719 0.852
Ho4 0.000 0.281 0.148
Er1 0.500 0.277 0.315
Er2 0.000 0.777 0.185
Er3 0.500 0.723 0.685
Er4 0.000 0.223 0.815
Tm1 0.500 0.500 0.000
Tm2 0.000 0.000 0.500

Entry 5:
Nd2HoErTm5: relaxed, PBE-GGA.

Output
Final energy: -4.2823 eV per atom
Size of the total moment: 0.0 μB per cell
Volume: 567.7 Å³/cell
SG: I4/mcm, No. 140

Cell: 8.539 8.539 9.854 Å, 115.68 115.68 90.00°
Element x y z (fractional)
Nd1 0.118 0.382 0.000
Nd2 0.618 0.118 0.000
Nd3 0.382 0.882 0.000
Nd4 0.882 0.618 0.000
Ho1 0.250 0.250 0.500
Ho2 0.750 0.750 0.500
Er1 0.250 0.750 0.500
Er2 0.750 0.250 0.500
Tm1 0.927 0.427 0.282
Tm2 0.645 0.145 0.718
Tm3 0.073 0.573 0.718
Tm4 0.145 0.073 0.718
Tm5 0.573 0.645 0.718
Tm6 0.855 0.927 0.282
Tm7 0.427 0.355 0.282
Tm8 0.355 0.855 0.282
Tm9 0.500 0.500 0.000
Tm10 0.000 0.000 0.000

Entry 6:
NdHoEr5Tm2: relaxed, PBE-GGA.

Output
Final energy: -4.4002 eV per atom
Size of the total moment: 0.0 μB per cell
Volume: 571.6 Å³/cell
SG: Cmc2_1, No. 36

Cell: 5.554 10.215 10.468 Å, 90.00 90.00 105.77°
Element x y z (fractional)
Nd1 0.584 0.168 0.951
Nd2 0.416 0.832 0.451
Ho1 0.800 0.601 0.512
Ho2 0.200 0.399 0.012
Er1 0.388 0.776 0.023
Er2 0.719 0.438 0.812
Er3 0.478 0.956 0.736
Er4 0.299 0.597 0.710
Er5 0.982 0.965 0.525
Er6 0.612 0.224 0.523
Er7 0.281 0.562 0.312
Er8 0.522 0.044 0.236
Er9 0.701 0.403 0.210
Er10 0.018 0.035 0.025
Tm1 0.887 0.774 0.818
Tm2 0.111 0.222 0.736
Tm3 0.113 0.226 0.318
Tm4 0.889 0.778 0.236

Entry 7:
NdHo6Er2Tm3: relaxed, PBE-GGA.

Output
Final energy: -4.5428 eV per atom
Size of the total moment: 0.0 μB per cell
Volume: 371.0 Å³/cell
SG: C2/m, No. 12

Cell: 6.100 6.100 11.683 Å, 94.98 94.98 119.94°
Element x y z (fractional)
Nd1 0.000 0.000 0.000
Ho1 0.915 0.581 0.748
Ho2 0.751 0.751 0.252
Ho3 0.085 0.419 0.252
Ho4 0.581 0.915 0.748
Ho5 0.249 0.249 0.748
Ho6 0.419 0.085 0.252
Er1 0.333 0.667 0.000
Er2 0.667 0.333 0.000
Tm1 0.167 0.833 0.500
Tm2 0.833 0.167 0.500
Tm3 0.500 0.500 0.500

Entry 8:
Nd2HoEr4Tm: relaxed, PBE-GGA.

Output
Final energy: -4.5830 eV per atom
Size of the total moment: 0.0 μB per cell
Volume: 505.5 Å³/cell
SG: P-1, No. 2

Cell: 9.980 10.057 12.257 Å, 114.27 144.51 89.93°
Element x y z (fractional)
Nd1 0.500 0.000 0.000
Nd2 0.500 0.000 0.500
Nd3 0.000 0.000 0.500
Nd4 0.500 0.500 0.000
Ho1 0.000 0.500 0.000
Ho2 0.000 0.500 0.500
Er1 0.242 0.748 0.995
Er2 0.746 0.252 0.499
Er3 0.254 0.748 0.500
Er4 0.758 0.252 0.005
Er5 0.748 0.748 0.995
Er6 0.748 0.748 0.501
Er7 0.252 0.252 0.499
Er8 0.252 0.252 0.005
Tm1 0.500 0.500 0.500
Tm2 0.000 0.000 0.000

Entry 9:
Nd2Ho6Er3Tm: relaxed, PBE-GGA.

Output
Final energy: -4.5770 eV per atom
Size of the total moment: 0.0 μB per cell
Volume: 376.5 Å³/cell
SG: C2/m, No. 12

Cell: 6.131 6.131 11.736 Å, 94.98 94.98 119.96°
Element x y z (fractional)
Nd1 0.333 0.667 0.000
Nd2 0.667 0.333 0.000
Ho1 0.915 0.583 0.747
Ho2 0.753 0.753 0.253
Ho3 0.085 0.417 0.253
Ho4 0.583 0.915 0.747
Ho5 0.247 0.247 0.747
Ho6 0.417 0.085 0.253
Er1 0.166 0.834 0.500
Er2 0.834 0.166 0.500
Er3 0.500 0.500 0.500
Tm1 0.000 0.000 0.000

Entry 10:
Nd6Ho2ErTm3: relaxed, PBE-GGA.

Output
Final energy: -4.6311 eV per atom
Size of the total moment: 0.0 μB per cell
Volume: 390.7 Å³/cell
SG: C2/m, No. 12

Cell: 6.241 6.241 11.765 Å, 95.06 95.06 119.99°
Element x y z (fractional)
Nd1 0.916 0.583 0.749
Nd2 0.751 0.751 0.251
Nd3 0.084 0.417 0.251
Nd4 0.583 0.916 0.749
Nd5 0.249 0.249 0.749
Nd6 0.417 0.084 0.251
Ho1 0.333 0.667 0.000
Ho2 0.667 0.333 0.000
Er1 0.000 0.000 0.000
Tm1 0.167 0.833 0.500
Tm2 0.833 0.167 0.500
Tm3 0.500 0.500 0.500

Entry 11:
Nd4HoEr2Tm: relaxed, PBE-GGA.

Output
Final energy: -4.6377 eV per atom
Size of the total moment: 0.0 μB per cell
Volume: 261.9 Å³/cell
SG: Pmmm, No. 47

Cell: 5.133 5.112 11.216 Å, 62.88 90.00 90.00°
Element x y z (fractional)
Nd1 0.000 0.751 0.749
Nd2 0.000 0.249 0.251
Nd3 0.500 0.749 0.251
Nd4 0.500 0.251 0.749
Ho1 0.500 0.500 0.000
Er1 0.000 0.000 0.000
Er2 0.500 0.000 0.500
Tm1 0.000 0.500 0.500

Entry 12:
Nd6HoEr2Tm: relaxed, PBE-GGA.

Output
Final energy: -4.5611 eV per atom
Size of the total moment: 0.0 μB per cell
Volume: 673.9 Å³/cell
SG: C2/c, No. 15

Cell: 9.612 8.934 8.934 Å, 117.63 93.87 93.87°
Element x y z (fractional)
Nd1 0.054 0.116 0.764
Nd2 0.446 0.236 0.884
Nd3 0.946 0.884 0.236
Nd4 0.554 0.764 0.116
Nd5 0.312 0.991 0.436
Nd6 0.188 0.564 0.009
Nd7 0.688 0.009 0.564
Nd8 0.812 0.436 0.991
Nd9 0.118 0.707 0.489
Nd10 0.382 0.511 0.293
Nd11 0.882 0.293 0.511
Nd12 0.618 0.489 0.707
Ho1 0.250 0.411 0.589
Ho2 0.750 0.589 0.411
Er1 0.454 0.800 0.704
Er2 0.046 0.296 0.200
Er3 0.546 0.200 0.296
Er4 0.954 0.704 0.800
Tm1 0.250 0.971 0.029
Tm2 0.750 0.029 0.971

Repeat the sixth record exactly.
NdHoEr5Tm2: relaxed, PBE-GGA.

Output
Final energy: -4.4002 eV per atom
Size of the total moment: 0.0 μB per cell
Volume: 571.6 Å³/cell
SG: Cmc2_1, No. 36

Cell: 5.554 10.215 10.468 Å, 90.00 90.00 105.77°
Element x y z (fractional)
Nd1 0.584 0.168 0.951
Nd2 0.416 0.832 0.451
Ho1 0.800 0.601 0.512
Ho2 0.200 0.399 0.012
Er1 0.388 0.776 0.023
Er2 0.719 0.438 0.812
Er3 0.478 0.956 0.736
Er4 0.299 0.597 0.710
Er5 0.982 0.965 0.525
Er6 0.612 0.224 0.523
Er7 0.281 0.562 0.312
Er8 0.522 0.044 0.236
Er9 0.701 0.403 0.210
Er10 0.018 0.035 0.025
Tm1 0.887 0.774 0.818
Tm2 0.111 0.222 0.736
Tm3 0.113 0.226 0.318
Tm4 0.889 0.778 0.236

> The highest volume belongs to which entry?

Nd6Ho2ErTm

> Which formula does entry 2 have?

NdHoEr3Tm